# 1
A plane-wave DFT calculation with PBE was carried out for an optimized crystal structure of TaCu2Ir.

a = 4.790 Å, b = 4.790 Å, c = 4.790 Å
α = 133.52°, β = 133.65°, γ = 67.74°
Atoms (fractional coordinates):
Cu 0.000 0.000 0.000
Cu 0.500 0.500 0.000
Ta 0.250 0.750 0.500
Ir 0.750 0.250 0.500

Computed properties:
Final energy = -7.39 eV per atom
Excess energy over the best structure of this formula in the dataset = 0.033 eV per atom
ΔE_f = -0.17 eV per atom


# 2
A plane-wave DFT calculation with PBE was carried out for an optimized crystal structure of Ba2MgScAu.

a = 6.425 Å, b = 5.230 Å, c = 6.425 Å
α = 90.00°, β = 90.00°, γ = 90.00°
Atoms (fractional coordinates):
Sc 0.000 0.500 0.000
Mg 0.500 0.500 0.500
Ba 0.500 0.000 0.000
Ba 0.000 0.000 0.500
Au 0.000 0.000 0.000

Computed properties:
Final energy = -3.04 eV per atom
ΔE_f = -0.03 eV per atom


# 3
A plane-wave DFT calculation with PBE was carried out for an optimized crystal structure of TeMoOsRh2.

a = 4.748 Å, b = 4.830 Å, c = 4.748 Å
α = 90.00°, β = 90.00°, γ = 90.00°
Atoms (fractional coordinates):
Os 0.000 0.500 0.000
Rh 0.500 0.000 0.000
Rh 0.000 0.000 0.500
Te 0.000 0.000 0.000
Mo 0.500 0.500 0.500

Computed properties:
Final energy = -6.25 eV per atom


# 4
A plane-wave DFT calculation with PBE was carried out for an optimized crystal structure of La2CuIr.

a = 4.245 Å, b = 4.245 Å, c = 7.431 Å
α = 73.39°, β = 73.39°, γ = 59.87°
Atoms (fractional coordinates):
La 0.009 0.009 0.973
La 0.491 0.491 0.527
Ir 0.750 0.750 0.750
Cu 0.250 0.250 0.250

Computed properties:
Final energy = -6.12 eV per atom
ΔE_f = -0.42 eV per atom


# 5
A plane-wave DFT calculation with PBE was carried out for an optimized crystal structure of YCuSi2.

a = 5.884 Å, b = 5.884 Å, c = 5.884 Å
α = 38.97°, β = 38.97°, γ = 38.97°
Atoms (fractional coordinates):
Y 0.511 0.511 0.511
Si 0.715 0.715 0.715
Si 0.953 0.953 0.953
Cu 0.320 0.320 0.320

Computed properties:
Final energy = -5.69 eV per atom


# 6
A plane-wave DFT calculation with PBE was carried out for an optimized crystal structure of ReRhC3.

a = 3.996 Å, b = 3.996 Å, c = 3.996 Å
α = 90.00°, β = 90.00°, γ = 90.00°
Atoms (fractional coordinates):
Re 0.000 0.000 0.000
C 0.500 0.000 0.000
C 0.000 0.500 0.000
C 0.000 0.000 0.500
Rh 0.500 0.500 0.500

Computed properties:
Final energy = -7.52 eV per atom
Excess energy over the best structure of this formula in the dataset = 0.000 eV per atom
ΔE_f = 1.97 eV per atom


# 7
A plane-wave DFT calculation with PBE was carried out for an optimized crystal structure of AcTiPb3.

a = 5.431 Å, b = 5.431 Å, c = 5.431 Å
α = 90.00°, β = 90.00°, γ = 90.00°
Atoms (fractional coordinates):
Pb 0.000 0.500 0.000
Pb 0.000 0.000 0.500
Pb 0.500 0.000 0.000
Ac 0.500 0.500 0.500
Ti 0.000 0.000 0.000

Computed properties:
Final energy = -4.71 eV per atom
ΔE_f = -0.09 eV per atom


# 8
A plane-wave DFT calculation with PBE was carried out for an optimized crystal structure of CrRh2.

a = 6.023 Å, b = 6.023 Å, c = 3.834 Å
α = 90.00°, β = 90.00°, γ = 143.99°
Atoms (fractional coordinates):
Rh 0.420 0.580 0.750
Rh 0.580 0.420 0.250
Rh 0.253 0.747 0.250
Rh 0.747 0.253 0.750
Cr 0.088 0.912 0.750
Cr 0.912 0.088 0.250

Computed properties:
Final energy = -8.17 eV per atom
ΔE_f = -0.07 eV per atom


# 9
A plane-wave DFT calculation with PBE was carried out for an optimized crystal structure of MgNbH3.

a = 3.693 Å, b = 3.693 Å, c = 3.693 Å
α = 90.00°, β = 90.00°, γ = 90.00°
Atoms (fractional coordinates):
Nb 0.000 0.000 0.000
H 0.500 0.000 0.000
H 0.000 0.000 0.500
H 0.000 0.500 0.000
Mg 0.500 0.500 0.500

Computed properties:
Final energy = -4.32 eV per atom
Excess energy over the best structure of this formula in the dataset = 0.000 eV per atom


# 10
A plane-wave DFT calculation with PBE was carried out for an optimized crystal structure of Li7Mg2Sn3.

a = 3.055 Å, b = 5.567 Å, c = 17.469 Å
α = 124.71°, β = 90.00°, γ = 90.00°
Atoms (fractional coordinates):
Sn 0.000 0.785 0.661
Sn 0.500 0.500 0.000
Sn 0.000 0.215 0.339
Li 0.500 0.268 0.501
Li 0.000 0.609 0.158
Li 0.000 0.391 0.842
Li 0.500 0.920 0.831
Li 0.500 0.732 0.499
Li 0.000 0.000 0.000
Li 0.500 0.080 0.169
Mg 0.500 0.687 0.320
Mg 0.500 0.313 0.680

Computed properties:
Final energy = -2.59 eV per atom
ΔE_f = -0.21 eV per atom


# 11
A plane-wave DFT calculation with PBE was carried out for an optimized crystal structure of Pm6YHo3.

a = 6.387 Å, b = 11.080 Å, c = 11.080 Å
α = 121.23°, β = 90.00°, γ = 90.00°
Atoms (fractional coordinates):
Ho 0.977 0.717 0.947
Ho 0.477 0.947 0.717
Ho 0.586 0.613 0.387
Ho 0.086 0.387 0.613
Ho 0.977 0.053 0.283
Ho 0.477 0.283 0.053
Pm 0.380 0.968 0.032
Pm 0.155 0.718 0.282
Pm 0.550 0.628 0.716
Pm 0.550 0.284 0.372
Pm 0.854 0.485 0.060
Pm 0.354 0.060 0.485
Pm 0.880 0.032 0.968
Pm 0.050 0.716 0.628
Pm 0.655 0.282 0.718
Pm 0.354 0.515 0.940
Pm 0.050 0.372 0.284
Pm 0.854 0.940 0.515
Y 0.602 0.810 0.190
Y 0.102 0.190 0.810

Computed properties:
Final energy = -4.72 eV per atom
ΔE_f = 0.15 eV per atom


# 12
A plane-wave DFT calculation with PBE was carried out for an optimized crystal structure of CaTl2FeBr6.

a = 7.770 Å, b = 7.770 Å, c = 7.614 Å
α = 59.30°, β = 59.31°, γ = 59.99°
Atoms (fractional coordinates):
Br 0.625 0.085 0.807
Br 0.547 0.150 0.296
Br 0.086 0.482 0.807
Br 0.150 0.007 0.297
Br 0.483 0.625 0.806
Br 0.007 0.547 0.296
Tl 0.087 0.087 0.740
Tl 0.546 0.546 0.363
Ca 0.816 0.816 0.551
Fe 0.316 0.316 0.051

Computed properties:
Final energy = -3.55 eV per atom


# 13
A plane-wave DFT calculation with PBE was carried out for an optimized crystal structure of Er8Tl2Sn.

a = 5.528 Å, b = 8.505 Å, c = 8.505 Å
α = 118.39°, β = 101.34°, γ = 101.34°
Atoms (fractional coordinates):
Sn 0.500 0.000 0.000
Er 0.879 0.903 0.676
Er 0.879 0.676 0.903
Er 0.121 0.324 0.097
Er 0.298 0.601 0.601
Er 0.500 0.217 0.783
Er 0.121 0.097 0.324
Er 0.500 0.783 0.217
Er 0.702 0.399 0.399
Tl 0.000 0.304 0.696
Tl 0.000 0.696 0.304

Computed properties:
Final energy = -4.25 eV per atom
ΔE_f = -0.14 eV per atom


# 14
A plane-wave DFT calculation with PBE was carried out for an optimized crystal structure of BaGaBr4.

a = 6.758 Å, b = 6.758 Å, c = 6.758 Å
α = 110.37°, β = 110.37°, γ = 107.69°
Atoms (fractional coordinates):
Br 0.747 0.745 0.489
Br 0.257 0.258 0.511
Br 0.255 0.743 0.001
Br 0.742 0.253 0.999
Ga 0.500 0.500 0.000
Ba 0.750 0.250 0.500

Computed properties:
Final energy = -3.19 eV per atom


# 15
A plane-wave DFT calculation with PBE was carried out for an optimized crystal structure of BeInTe2.

a = 3.678 Å, b = 4.946 Å, c = 5.706 Å
α = 90.00°, β = 90.00°, γ = 90.00°
Atoms (fractional coordinates):
Be 0.500 0.000 0.500
In 0.000 0.500 0.500
Te 0.500 0.500 0.000
Te 0.000 0.000 0.000

Computed properties:
Final energy = -2.63 eV per atom
Excess energy over the best structure of this formula in the dataset = 0.735 eV per atom


# 16
A plane-wave DFT calculation with PBE was carried out for an optimized crystal structure of V6ReW2.

a = 4.148 Å, b = 5.938 Å, c = 7.246 Å
α = 114.19°, β = 106.83°, γ = 90.00°
Atoms (fractional coordinates):
V 0.835 0.082 0.669
V 0.835 0.587 0.669
V 0.500 0.247 0.000
V 0.165 0.413 0.331
V 0.500 0.753 0.000
V 0.165 0.918 0.331
W 0.334 0.334 0.668
W 0.666 0.666 0.332
Re 0.000 0.000 0.000

Computed properties:
Final energy = -9.60 eV per atom
Excess energy over the best structure of this formula in the dataset = 0.837 eV per atom
ΔE_f = 0.74 eV per atom


# 17
A plane-wave DFT calculation with PBE was carried out for an optimized crystal structure of SrNbSn2Se.

a = 5.455 Å, b = 5.068 Å, c = 5.455 Å
α = 90.00°, β = 90.00°, γ = 90.00°
Atoms (fractional coordinates):
Sr 0.500 0.500 0.500
Sn 0.000 0.000 0.500
Sn 0.500 0.000 0.000
Nb 0.000 0.000 0.000
Se 0.000 0.500 0.000

Computed properties:
Final energy = -4.91 eV per atom
Excess energy over the best structure of this formula in the dataset = 0.000 eV per atom


# 18
A plane-wave DFT calculation with PBE was carried out for an optimized crystal structure of NdLuCdAg.

a = 5.256 Å, b = 5.256 Å, c = 5.256 Å
α = 60.00°, β = 60.00°, γ = 60.00°
Atoms (fractional coordinates):
Lu 0.250 0.250 0.250
Ag 0.000 0.000 0.000
Cd 0.500 0.500 0.500
Nd 0.750 0.750 0.750

Computed properties:
Final energy = -3.55 eV per atom
ΔE_f = -0.28 eV per atom


# 19
A plane-wave DFT calculation with PBE was carried out for an optimized crystal structure of Zn2OsRu.

a = 2.684 Å, b = 3.950 Å, c = 5.368 Å
α = 90.00°, β = 90.00°, γ = 90.00°
Atoms (fractional coordinates):
Zn 0.000 0.000 0.500
Zn 0.000 0.000 0.000
Os 0.500 0.500 0.250
Ru 0.500 0.500 0.750

Computed properties:
Final energy = -5.44 eV per atom
Excess energy over the best structure of this formula in the dataset = 0.318 eV per atom
ΔE_f = 0.32 eV per atom


# 20
A plane-wave DFT calculation with PBE was carried out for an optimized crystal structure of NiAsN3.

a = 3.704 Å, b = 3.704 Å, c = 3.704 Å
α = 90.00°, β = 90.00°, γ = 90.00°
Atoms (fractional coordinates):
N 0.000 0.000 0.500
N 0.000 0.500 0.000
N 0.500 0.000 0.000
Ni 0.500 0.500 0.500
As 0.000 0.000 0.000

Computed properties:
Final energy = -5.29 eV per atom